No. 1
# PBE-GGA CrPIr3, optimized geometry
# ΔH_f (0 K)   929 meV/atom
# E above lowest polymorph   0.000 eV per atom
data_CrPIr3
_chemical_formula_sum 'Cr1 P1 Ir3'
_symmetry_space_group_name_H-M 'P m -3 m'
_symmetry_Int_Tables_number 221
_symmetry_space_group_name_Hall '-P 4 2 3'
_cell_length_a 4.370
_cell_length_b 4.370
_cell_length_c 4.370
_cell_angle_alpha 90.00
_cell_angle_beta 90.00
_cell_angle_gamma 90.00
loop_
_atom_site_label
_atom_site_fract_x
_atom_site_fract_y
_atom_site_fract_z
Cr1 0.000 0.000 0.000
P1 0.500 0.500 0.500
Ir1 0.000 0.500 0.500

No. 2
# PBE-GGA Tb2Y2Ga4Pt, optimized geometry
# ΔH_f (0 K)   -490 meV/atom
data_Tb2Y2Ga4Pt
_chemical_formula_sum 'Tb4 Y4 Ga8 Pt2'
_symmetry_space_group_name_H-M 'I 4/m m m'
_symmetry_Int_Tables_number 139
_symmetry_space_group_name_Hall '-I 4 2'
_cell_length_a 7.038
_cell_length_b 7.038
_cell_length_c 8.667
_cell_angle_alpha 90.00
_cell_angle_beta 90.00
_cell_angle_gamma 90.00
loop_
_atom_site_label
_atom_site_fract_x
_atom_site_fract_y
_atom_site_fract_z
Tb1 0.000 0.500 0.250
Y1 0.000 0.000 0.189
Ga1 0.250 0.250 0.000
Pt1 0.000 0.000 0.500

Quick rundown of total energy, same order as above: -7.394 -4.972 eV per atom